[1]
{"formula": "Ho5Fe2Bi", "functional": "PBE-GGA", "state": "optimized geometry", "ef_ev_per_atom": -0.2259, "lattice_angstrom": [[-0.678, 4.798, -5.589], [4.931, -3.874, -3.923], [-7.637, -4.576, 1.892]], "species": ["Ho", "Ho", "Ho", "Ho", "Ho", "Ho", "Ho", "Ho", "Ho", "Ho", "Fe", "Fe", "Fe", "Fe", "Bi", "Bi"], "fractional_positions": [[0.542, 0.700, 0.742], [0.800, 0.958, 0.258], [0.000, 0.000, 0.000], [0.500, 0.500, 0.000], [0.200, 0.042, 0.742], [0.700, 0.200, 0.742], [0.042, 0.542, 0.742], [0.300, 0.800, 0.258], [0.958, 0.458, 0.258], [0.458, 0.300, 0.258], [0.111, 0.389, 0.000], [0.611, 0.111, 0.000], [0.389, 0.889, 0.000], [0.889, 0.611, 0.000], [0.750, 0.750, 0.500], [0.250, 0.250, 0.500]]}

[2]
{"formula": "TaReNF2", "functional": "PBE-GGA", "state": "optimized geometry", "total_energy_ev_per_cell": -34.356, "lattice_angstrom": [[4.214, 0.000, 0.000], [0.000, 4.214, 0.000], [0.000, 0.000, 3.870]], "species": ["Re", "N", "F", "F", "Ta"], "fractional_positions": [[0.000, 0.000, 0.000], [0.000, 0.000, 0.500], [0.000, 0.500, 0.000], [0.500, 0.000, 0.000], [0.500, 0.500, 0.500]]}

[3]
{"formula": "NaZnCdF6", "functional": "PBE-GGA", "state": "optimized geometry", "total_energy_ev_per_cell": -67.564, "lattice_angstrom": [[-0.827, 2.910, 4.016], [-3.700, -3.074, 1.465], [6.612, -5.433, 5.298]], "species": ["Na", "Na", "Zn", "Zn", "Cd", "Cd", "F", "F", "F", "F", "F", "F", "F", "F", "F", "F", "F", "F"], "fractional_positions": [[0.500, 0.500, 0.500], [0.000, 0.000, 0.000], [0.500, 0.500, 0.833], [0.000, 0.000, 0.333], [0.500, 0.500, 0.168], [0.000, 0.000, 0.668], [0.182, 0.818, 0.486], [0.818, 0.182, 0.486], [0.318, 0.318, 0.986], [0.682, 0.682, 0.986], [0.191, 0.809, 0.187], [0.809, 0.191, 0.187], [0.309, 0.309, 0.687], [0.691, 0.691, 0.687], [0.781, 0.219, 0.827], [0.219, 0.781, 0.827], [0.719, 0.719, 0.327], [0.281, 0.281, 0.327]]}

[4]
{"formula": "CeNpAs2Rh5", "functional": "PBE-GGA", "state": "optimized geometry", "ef_ev_per_atom": -0.2754, "lattice_angstrom": [[-0.690, 3.586, -1.659], [-3.721, -1.155, -0.951], [-3.804, 3.939, 10.097]], "species": ["Ce", "Np", "As", "As", "Rh", "Rh", "Rh", "Rh", "Rh"], "fractional_positions": [[0.000, 0.000, 0.000], [0.500, 0.500, 0.500], [0.000, 0.000, 0.709], [0.000, 0.000, 0.291], [0.000, 0.000, 0.500], [0.000, 0.500, 0.826], [0.500, 0.000, 0.174], [0.000, 0.500, 0.174], [0.500, 0.000, 0.826]]}